[1]
Compound: YZn2Ir
Source: Alexandria
Functional: PBE-GGA
Structure: optimized geometry

a = 7.554 Å, b = 7.382 Å, c = 5.395 Å
α = 90.00°, β = 90.00°, γ = 90.00°
Fractional positions:
Y 0.044 0.250 0.107
Y 0.456 0.750 0.607
Y 0.544 0.250 0.393
Y 0.956 0.750 0.893
Zn 0.164 0.053 0.594
Zn 0.164 0.447 0.594
Zn 0.336 0.553 0.094
Zn 0.336 0.947 0.094
Zn 0.664 0.053 0.906
Zn 0.664 0.447 0.906
Zn 0.836 0.553 0.406
Zn 0.836 0.947 0.406
Ir 0.126 0.750 0.359
Ir 0.374 0.250 0.859
Ir 0.626 0.750 0.141
Ir 0.874 0.250 0.641

## Properties
Magnetic moment in μB per cell: 0.00
E_form in eV per atom: -0.520
Density in g cm⁻³: 9.09
Crystal system: orthorhombic

[2]
Compound: MgVIr2
Source: Alexandria
Functional: PBE-GGA
Structure: optimized geometry

a = 5.644 Å, b = 5.644 Å, c = 5.644 Å
α = 103.44°, β = 103.44°, γ = 122.36°
Fractional positions:
Mg 0.000 0.000 0.000
Mg 0.750 0.250 0.500
V 0.250 0.750 0.500
V 0.500 0.500 0.000
Ir 0.169 0.125 0.544
Ir 0.375 0.831 0.956
Ir 0.581 0.625 0.456
Ir 0.875 0.419 0.044

## Properties
Magnetic moment in μB per cell: 0.00
E_form in eV per atom: 0.051
Density in g cm⁻³: 11.48
Crystal system: tetragonal

[3]
Compound: AlPt2
Source: Alexandria
Functional: PBE-GGA
Structure: optimized geometry

a = 4.932 Å, b = 4.932 Å, c = 4.932 Å
α = 107.02°, β = 107.02°, γ = 114.49°
Fractional positions:
Al 0.250 0.250 0.000
Al 0.750 0.750 0.000
Pt 0.163 0.663 0.827
Pt 0.337 0.163 0.500
Pt 0.663 0.837 0.500
Pt 0.837 0.337 0.173

## Properties
Magnetic moment in μB per cell: 0.00
E_form in eV per atom: -0.664
Density in g cm⁻³: 15.09
Crystal system: tetragonal

[4]
Compound: TmPaP2
Source: Alexandria
Functional: PBE-GGA
Structure: optimized geometry

a = 7.247 Å, b = 7.247 Å, c = 7.247 Å
α = 30.74°, β = 30.74°, γ = 30.74°
Fractional positions:
Tm 0.000 0.000 0.000
Pa 0.174 0.174 0.174
P 0.420 0.420 0.420
P 0.589 0.589 0.589

## Properties
Magnetic moment in μB per cell: 0.00
E_form in eV per atom: -1.283
Density in g cm⁻³: 8.70
Crystal system: trigonal
ΔE to the lowest computed polymorph in meV per atom: 163

[5]
Compound: CeY2ScAs4
Source: Alexandria
Functional: PBE-GGA
Structure: optimized geometry

a = 7.064 Å, b = 4.096 Å, c = 7.090 Å
α = 90.00°, β = 109.40°, γ = 90.00°
Fractional positions:
Ce 0.000 0.000 0.000
Y 0.000 0.500 0.500
Y 0.500 0.000 0.500
Sc 0.500 0.500 0.000
As 0.257 0.500 0.247
As 0.260 0.000 0.760
As 0.740 0.000 0.240
As 0.743 0.500 0.753

## Properties
Magnetic moment in μB per cell: 0.48
E_form in eV per atom: -1.458
Density in g cm⁻³: 5.69
Crystal system: monoclinic

[6]
Compound: Ac2ZnPt3
Source: Alexandria
Functional: PBE-GGA
Structure: optimized geometry

a = 9.060 Å, b = 8.830 Å, c = 6.156 Å
α = 71.90°, β = 67.87°, γ = 40.23°
Fractional positions:
Ac 0.246 0.754 0.754
Ac 0.250 0.250 0.250
Ac 0.750 0.750 0.750
Ac 0.754 0.246 0.246
Zn 0.333 0.333 0.667
Zn 0.667 0.667 0.333
Pt 0.171 0.171 0.829
Pt 0.174 0.652 0.348
Pt 0.348 0.826 0.174
Pt 0.652 0.174 0.826
Pt 0.826 0.348 0.652
Pt 0.829 0.829 0.171

## Properties
Magnetic moment in μB per cell: 0.00
E_form in eV per atom: -0.976
Density in g cm⁻³: 12.46
Crystal system: orthorhombic
ΔE to the lowest computed polymorph in meV per atom: 11